No. 1
VASP calculation (GGA-PBE) on a relaxed structure of AcEu2Pd.

Properties
Its space group is R-3m, No. 166. For the formation energy from the elements, the calculation gives -0.16 eV/atom. For the total moment, the calculation gives 43.66 μB/cell. As for the volume: 37.98 Å³/atom.

a = 3.9705 Å, b = 3.9705 Å, c = 33.3868 Å
α = 90.00°, β = 90.00°, γ = 120.00°
Last column: nearest neighbours and their distance in Å.
Element x y z (fractional)
Ac  0.0000  0.0000  0.0000  2 Eu 3.74, 6 Ac 3.97
Ac  0.3333  0.6667  0.6667  2 Eu 3.74, 6 Ac 3.97
Ac  0.6667  0.3333  0.3333  2 Eu 3.74, 6 Ac 3.97
Eu  0.0000  0.0000  0.1121  3 Pd 2.93
Eu  0.0000  0.0000  0.8879  3 Pd 2.93
Eu  0.3333  0.6667  0.5546  3 Pd 2.93
Eu  0.3333  0.6667  0.7788  3 Pd 2.93
Eu  0.6667  0.3333  0.2212  3 Pd 2.93
Eu  0.6667  0.3333  0.4454  3 Pd 2.93
Pd  0.0000  0.0000  0.5000  6 Eu 2.93
Pd  0.3333  0.6667  0.1667  6 Eu 2.93
Pd  0.6667  0.3333  0.8333  6 Eu 2.93

=====

No. 2
VASP calculation (GGA-PBE) on a relaxed structure of ReMo2Ru.

Properties
Its space group is P4/mmm, No. 123. For the formation energy from the elements, the calculation gives 0.11 eV/atom. For the total moment, the calculation gives 0.00 μB/cell. As for the volume: 15.17 Å³/atom.

a = 3.9361 Å, b = 3.9361 Å, c = 3.9167 Å
α = 90.00°, β = 90.00°, γ = 90.00°
Last column: nearest neighbours and their distance in Å.
Element x y z (fractional)
Re  0.0000  0.0000  0.0000  8 Mo 2.78, 4 Ru 2.78
Mo  0.0000  0.5000  0.5000  4 Ru 2.78, 4 Re 2.78, 4 Mo 2.78
Mo  0.5000  0.0000  0.5000  4 Ru 2.78, 4 Re 2.78, 4 Mo 2.78
Ru  0.5000  0.5000  0.0000  8 Mo 2.78, 4 Re 2.78